Density functional theory data (PBE) for a relaxed structure of SrCe2Se4.

```
SrCe2Se4
1.0
-7.530 4.107 -1.595
-7.394 -4.460 -0.435
-5.889 0.901 6.265
Se Ce Sr
8 4 2
Cartesian
-8.927 2.281 0.298
-11.886 -1.732 3.937
-7.944 0.547 4.178
-12.041 2.782 3.310
-15.600 0.390 3.073
-8.771 -2.233 0.925
-12.869 0.001 0.057
-5.213 0.158 1.162
0.000 0.000 0.000
-2.944 0.451 3.132
-6.641 -1.779 2.915
-6.710 2.504 2.335
-7.462 -0.176 -1.015
-3.697 -2.230 -0.218
```

For the calculated volume, the calculation gives 32.91 Å³ per atom. The calculation puts the uncorrected formation energy at -1.839 eV per atom. For the spin magnetization, the calculation gives 3.99 Bohr magnetons per cell. For the offset from the most stable computed form, the calculation gives 43 meV per atom. As for the electronic total energy: -5.766 eV per atom.